The following is a DFT calculation (PBE) of a geometry-optimized CaDy2Pd2 structure.

## Properties
The value obtained for the volume is 24.4 Å³ per atom. The excess energy over the best structure of this formula in the dataset is 0 meV per atom. As for the formation energy from the elements: -703 meV/atom. The total magnetization is 0.00 Bohr magnetons per cell.

abc: 7.9830 7.9830 3.8326
angles: 90.00 90.00 90.00
Space group P4/mbm (No. 127)
Inequivalent atoms, fractional coordinates:
Ca  0.0000  0.0000  0.0000 [2 per cell]
Dy  0.1589  0.3411  0.5000 [4 per cell]
Pd  0.1324  0.6324  0.0000 [4 per cell]

The following is a DFT calculation (PBE) of a geometry-optimized TaRuN structure.

## Properties
The value obtained for the volume is 12.5 Å³ per atom. The uncorrected formation energy comes out at -0.54 eV/atom. The excess energy over the best structure of this formula in the dataset is 1 meV per atom. The total magnetization is 0.00 Bohr magnetons per cell.

abc: 4.0745 4.2571 4.3411
angles: 90.00 90.00 90.00
Space group Amm2 (No. 38)
Inequivalent atoms, fractional coordinates:
Ta  0.0000  0.0000  0.0000 [2 per cell]
Ru  0.5000  0.0000  0.4335 [2 per cell]
N  0.0000  0.0000  0.5152 [2 per cell]

The following is a DFT calculation (PBE) of a geometry-optimized YCrAs2Pd structure.

## Properties
The value obtained for the volume is 29.1 Å³ per atom. As for the formation energy from the elements: 767 meV/atom. The total magnetization is 4.27 Bohr magnetons per cell.

abc: 5.3557 5.3557 5.0714
angles: 90.00 90.00 90.00
Space group P4/mmm (No. 123)
Inequivalent atoms, fractional coordinates:
Y  0.0000  0.0000  0.0000 [1 per cell]
Cr  0.5000  0.5000  0.5000 [1 per cell]
As  0.0000  0.5000  0.0000 [2 per cell]
Pd  0.0000  0.0000  0.5000 [1 per cell]

The following is a DFT calculation (PBE) of a geometry-optimized V3CrGa structure.

## Properties
The value obtained for the volume is 18.3 Å³ per atom. The excess energy over the best structure of this formula in the dataset is 1343 meV per atom. As for the formation energy from the elements: 1315 meV/atom. The total magnetization is 1.56 Bohr magnetons per cell.

abc: 4.5056 4.5056 4.5056
angles: 90.00 90.00 90.00
Space group Pm-3m (No. 221)
Inequivalent atoms, fractional coordinates:
V  0.0000  0.0000  0.5000 [3 per cell]
Cr  0.5000  0.5000  0.5000 [1 per cell]
Ga  0.0000  0.0000  0.0000 [1 per cell]

The following is a DFT calculation (PBE) of a geometry-optimized BaTiBi2 structure.

## Properties
The value obtained for the volume is 31.0 Å³ per atom. The excess energy over the best structure of this formula in the dataset is 311 meV per atom. As for the formation energy from the elements: -96 meV/atom. The total magnetization is 7.74 Bohr magnetons per cell.

abc: 7.9160 7.9160 7.9160
angles: 90.00 90.00 90.00
Space group Fm-3m (No. 225)
Inequivalent atoms, fractional coordinates:
Ba  0.0000  0.0000  0.0000 [4 per cell]
Ti  0.0000  0.0000  0.5000 [4 per cell]
Bi  0.2500  0.2500  0.2500 [8 per cell]

The following is a DFT calculation (PBE) of a geometry-optimized Er2PtAu structure.

## Properties
The value obtained for the volume is 21.8 Å³ per atom. As for the formation energy from the elements: -1076 meV/atom. The total magnetization is 0.00 Bohr magnetons per cell.

abc: 3.5019 3.5019 7.0995
angles: 90.00 90.00 90.00
Space group P4/mmm (No. 123)
Inequivalent atoms, fractional coordinates:
Er  0.0000  0.0000  0.2413 [2 per cell]
Pt  0.5000  0.5000  0.0000 [1 per cell]
Au  0.5000  0.5000  0.5000 [1 per cell]

The following is a DFT calculation (PBE) of a geometry-optimized LiTi2NbRh structure.

## Properties
The value obtained for the volume is 22.2 Å³ per atom. As for the formation energy from the elements: 827 meV/atom. The total magnetization is 0.00 Bohr magnetons per cell.

abc: 4.8443 4.8443 4.7300
angles: 90.00 90.00 90.00
Space group P4/mmm (No. 123)
Inequivalent atoms, fractional coordinates:
Li  0.0000  0.0000  0.0000 [1 per cell]
Ti  0.0000  0.5000  0.5000 [2 per cell]
Nb  0.5000  0.5000  0.5000 [1 per cell]
Rh  0.5000  0.5000  0.0000 [1 per cell]

The following is a DFT calculation (PBE) of a geometry-optimized HfPbO3 structure.

## Properties
The value obtained for the volume is 16.3 Å³ per atom. The uncorrected formation energy comes out at -2.51 eV/atom. The total magnetization is 0.00 Bohr magnetons per cell.

abc: 10.2964 5.5734 5.9733
angles: 90.00 108.31 90.00
Space group C2/m (No. 12)
Inequivalent atoms, fractional coordinates:
Hf  0.1656  0.0000  0.4955 [4 per cell]
Pb  0.1133  0.5000  0.8341 [4 per cell]
O  0.0000  0.2234  0.5000 [4 per cell]
O  0.2199  0.2447  0.2682 [8 per cell]

The following is a DFT calculation (PBE) of a geometry-optimized NbAg2H structure.

## Properties
The value obtained for the volume is 15.4 Å³ per atom. The excess energy over the best structure of this formula in the dataset is 0 meV per atom. The total magnetization is 2.55 Bohr magnetons per cell.

abc: 5.7670 5.7670 7.3917
angles: 90.00 90.00 90.00
Space group I-42d (No. 122)
Inequivalent atoms, fractional coordinates:
Nb  0.0000  0.0000  0.0000 [4 per cell]
Ag  0.1010  0.2500  0.6250 [8 per cell]
H  0.0000  0.0000  0.5000 [4 per cell]

The following is a DFT calculation (PBE) of a geometry-optimized PmPaNi3 structure.

## Properties
The value obtained for the volume is 18.1 Å³ per atom. The excess energy over the best structure of this formula in the dataset is 58 meV per atom. As for the formation energy from the elements: -301 meV/atom. The total magnetization is 0.00 Bohr magnetons per cell.

abc: 5.3437 6.3892 5.3860
angles: 90.00 100.10 90.00
Space group P2_1/m (No. 11)
Inequivalent atoms, fractional coordinates:
Pm  0.2348  0.2500  0.1513 [2 per cell]
Pa  0.1718  0.7500  0.4145 [2 per cell]
Ni  0.2868  0.7500  0.9784 [2 per cell]
Ni  0.3469  0.0573  0.6872 [4 per cell]

The following is a DFT calculation (PBE) of a geometry-optimized Na12In2Hg5 structure.

## Properties
The value obtained for the volume is 29.8 Å³ per atom. As for the formation energy from the elements: -149 meV/atom. The total magnetization is 0.00 Bohr magnetons per cell.

abc: 12.9441 10.5450 8.4381
angles: 90.00 100.86 90.00
Space group C2/m (No. 12)
Inequivalent atoms, fractional coordinates:
Na  0.0999  0.0000  0.1563 [4 per cell]
Na  0.1059  0.5000  0.7579 [4 per cell]
Na  0.1075  0.2664  0.3927 [8 per cell]
Na  0.1752  0.1722  0.8080 [8 per cell]
In  0.0000  0.2811  0.0000 [4 per cell]
Hg  0.0000  0.0000  0.5000 [2 per cell]
Hg  0.1285  0.5000  0.1497 [4 per cell]
Hg  0.2390  0.0000  0.5032 [4 per cell]

The following is a DFT calculation (PBE) of a geometry-optimized Os2RhSe structure.

## Properties
The value obtained for the volume is 15.1 Å³ per atom. The uncorrected formation energy comes out at 0.35 eV/atom. The total magnetization is 0.00 Bohr magnetons per cell.

abc: 2.8529 2.8529 7.4115
angles: 90.00 90.00 90.00
Space group P4mm (No. 99)
Inequivalent atoms, fractional coordinates:
Os  0.0000  0.0000  0.0000 [1 per cell]
Os  0.5000  0.5000  0.2282 [1 per cell]
Rh  0.0000  0.0000  0.4880 [1 per cell]
Se  0.5000  0.5000  0.7373 [1 per cell]

The following is a DFT calculation (PBE) of a geometry-optimized Mg2Zr2Sc structure.

## Properties
The value obtained for the volume is 23.0 Å³ per atom. The excess energy over the best structure of this formula in the dataset is 215 meV per atom. As for the formation energy from the elements: 205 meV/atom. The total magnetization is 0.03 Bohr magnetons per cell.

abc: 8.3653 8.3653 3.2807
angles: 90.00 90.00 90.00
Space group P4/mbm (No. 127)
Inequivalent atoms, fractional coordinates:
Mg  0.1247  0.3753  0.0000 [4 per cell]
Zr  0.1730  0.6730  0.5000 [4 per cell]
Sc  0.0000  0.0000  0.0000 [2 per cell]